(1)
A relaxed DyThGaPd crystal, computed with GGA-PBE.

Cell: 7.244 7.244 7.244 Å, 90.00 90.00 90.00°
Sites, in units of the cell vectors:
Dy  0.000  0.000  0.000
Dy  0.000  0.500  0.500
Dy  0.500  0.000  0.500
Dy  0.500  0.500  0.000
Th  0.000  0.000  0.500
Th  0.000  0.500  0.000
Th  0.500  0.000  0.000
Th  0.500  0.500  0.500
Ga  0.250  0.250  0.750
Ga  0.250  0.750  0.250
Ga  0.750  0.250  0.250
Ga  0.750  0.750  0.750
Pd  0.250  0.250  0.250
Pd  0.250  0.750  0.750
Pd  0.750  0.250  0.750
Pd  0.750  0.750  0.250

Output
The density of states at the Fermi level comes out at 14.873 states/eV per cell. The calculation puts the final energy at -22.5 eV/f.u. Its space-group type is F-43m, No. 216. As for the crystal system: cubic. Its formation energy is -0.5682 eV/atom. As for the total magnetic moment: 0.02 μB/cell.

***

(2)
A relaxed DyTiGaPd crystal, computed with GGA-PBE.

Cell: 6.758 6.758 6.758 Å, 90.00 90.00 90.00°
Sites, in units of the cell vectors:
Dy  0.000  0.000  0.000
Dy  0.000  0.500  0.500
Dy  0.500  0.000  0.500
Dy  0.500  0.500  0.000
Ti  0.000  0.000  0.500
Ti  0.000  0.500  0.000
Ti  0.500  0.000  0.000
Ti  0.500  0.500  0.500
Ga  0.250  0.250  0.750
Ga  0.250  0.750  0.250
Ga  0.750  0.250  0.250
Ga  0.750  0.750  0.750
Pd  0.250  0.250  0.250
Pd  0.250  0.750  0.750
Pd  0.750  0.250  0.750
Pd  0.750  0.750  0.250

Output
The density of states at the Fermi level comes out at 20.511 states/eV per cell. The calculation puts the final energy at -22.6 eV/f.u. Its space-group type is F-43m, No. 216. As for the crystal system: cubic. Its formation energy is -0.4601 eV/atom. As for the total magnetic moment: 5.55 μB/cell.

***

(3)
A relaxed Dy2TiGa4Pd3 crystal, computed with GGA-PBE.

Cell: 4.040 4.040 11.560 Å, 90.00 90.00 90.00°
Sites, in units of the cell vectors:
Dy  0.000  0.500  0.248
Dy  0.500  0.000  0.752
Ti  0.500  0.500  0.000
Ga  0.000  0.000  0.500
Ga  0.000  0.500  0.854
Ga  0.500  0.000  0.146
Ga  0.500  0.500  0.500
Pd  0.000  0.000  0.000
Pd  0.000  0.500  0.638
Pd  0.500  0.000  0.362

Output
The density of states at the Fermi level comes out at 7.361 states/eV per cell. The calculation puts the final energy at -51.7 eV/f.u. Its space-group type is P-4m2, No. 115. As for the crystal system: tetragonal. Its formation energy is -0.6923 eV/atom. As for the total magnetic moment: 0.00 μB/cell.

***

(4)
A relaxed DyTlGaPd crystal, computed with GGA-PBE.

Cell: 6.954 6.954 6.954 Å, 90.00 90.00 90.00°
Sites, in units of the cell vectors:
Dy  0.000  0.000  0.000
Dy  0.000  0.500  0.500
Dy  0.500  0.000  0.500
Dy  0.500  0.500  0.000
Tl  0.000  0.000  0.500
Tl  0.000  0.500  0.000
Tl  0.500  0.000  0.000
Tl  0.500  0.500  0.500
Ga  0.250  0.250  0.250
Ga  0.250  0.750  0.750
Ga  0.750  0.250  0.750
Ga  0.750  0.750  0.250
Pd  0.250  0.250  0.750
Pd  0.250  0.750  0.250
Pd  0.750  0.250  0.250
Pd  0.750  0.750  0.750

Output
The density of states at the Fermi level comes out at 10.284 states/eV per cell. The calculation puts the final energy at -17.0 eV/f.u. Its space-group type is F-43m, No. 216. As for the crystal system: cubic. Its formation energy is -0.4481 eV/atom. As for the total magnetic moment: 0.00 μB/cell.

***

(5)
A relaxed DyTmGa2Pd2 crystal, computed with GGA-PBE.

Cell: 4.491 4.491 6.771 Å, 90.00 90.00 120.00°
Sites, in units of the cell vectors:
Dy  0.000  0.000  0.000
Tm  0.000  0.000  0.500
Ga  0.333  0.667  0.742
Ga  0.667  0.333  0.258
Pd  0.333  0.667  0.260
Pd  0.667  0.333  0.740

Output
The density of states at the Fermi level comes out at 4.191 states/eV per cell. The calculation puts the final energy at -30.7 eV/f.u. Its space-group type is P-3m1, No. 164. As for the crystal system: trigonal. Its formation energy is -0.8638 eV/atom. As for the total magnetic moment: 0.00 μB/cell.

***

(6)
A relaxed DyYGaPd crystal, computed with GGA-PBE.

Cell: 7.111 7.111 7.111 Å, 90.00 90.00 90.00°
Sites, in units of the cell vectors:
Dy  0.000  0.000  0.000
Dy  0.000  0.500  0.500
Dy  0.500  0.000  0.500
Dy  0.500  0.500  0.000
Y  0.000  0.000  0.500
Y  0.000  0.500  0.000
Y  0.500  0.000  0.000
Y  0.500  0.500  0.500
Ga  0.250  0.250  0.750
Ga  0.250  0.750  0.250
Ga  0.750  0.250  0.250
Ga  0.750  0.750  0.750
Pd  0.250  0.250  0.250
Pd  0.250  0.750  0.750
Pd  0.750  0.250  0.750
Pd  0.750  0.750  0.250

Output
The density of states at the Fermi level comes out at 12.904 states/eV per cell. The calculation puts the final energy at -22.1 eV/f.u. The value obtained for the relative energy among the computed polymorphs is 0.039 eV per atom. Its space-group type is F-43m, No. 216. As for the crystal system: cubic. Its formation energy is -0.7119 eV/atom. As for the total magnetic moment: 0.00 μB/cell.

***

(7)
A relaxed DyYGa2Pd2 crystal, computed with GGA-PBE.

Cell: 4.497 4.497 6.887 Å, 90.00 90.00 120.00°
Sites, in units of the cell vectors:
Dy  0.000  0.000  0.000
Y  0.000  0.000  0.500
Ga  0.333  0.667  0.248
Ga  0.667  0.333  0.752
Pd  0.333  0.667  0.753
Pd  0.667  0.333  0.247

Output
The density of states at the Fermi level comes out at 4.720 states/eV per cell. The calculation puts the final energy at -32.7 eV/f.u. Its space-group type is P-3m1, No. 164. As for the crystal system: trigonal. Its formation energy is -0.8615 eV/atom. As for the total magnetic moment: 0.00 μB/cell.

***

(8)
A relaxed DyYGa2Pd5 crystal, computed with GGA-PBE.

Cell: 4.204 4.204 9.256 Å, 90.00 90.00 90.00°
Sites, in units of the cell vectors:
Dy  0.000  0.000  0.000
Y  0.000  0.000  0.500
Ga  0.500  0.500  0.134
Ga  0.500  0.500  0.866
Pd  0.000  0.500  0.277
Pd  0.000  0.500  0.723
Pd  0.500  0.000  0.277
Pd  0.500  0.000  0.723
Pd  0.500  0.500  0.500

Output
The density of states at the Fermi level comes out at 4.754 states/eV per cell. The calculation puts the final energy at -50.4 eV/f.u. Its space-group type is P4/mmm, No. 123. As for the crystal system: tetragonal. Its formation energy is -0.8171 eV/atom. As for the total magnetic moment: 0.00 μB/cell.

***

(9)
A relaxed DyYGaPd crystal, computed with GGA-PBE.

Cell: 4.512 3.744 10.986 Å, 90.00 90.00 90.00°
Sites, in units of the cell vectors:
Dy  0.000  0.000  0.000
Dy  0.000  0.500  0.500
Y  0.500  0.000  0.716
Y  0.500  0.500  0.216
Ga  0.500  0.000  0.437
Ga  0.500  0.500  0.937
Pd  0.000  0.000  0.286
Pd  0.000  0.500  0.786

Output
The density of states at the Fermi level comes out at 6.247 states/eV per cell. The calculation puts the final energy at -22.3 eV/f.u. The value obtained for the relative energy among the computed polymorphs is 0.000 eV per atom. Its space-group type is Amm2, No. 38. As for the crystal system: orthorhombic. Its formation energy is -0.7512 eV/atom. As for the total magnetic moment: 0.00 μB/cell.

***

(10)
A relaxed DyZnGa2Pd2 crystal, computed with GGA-PBE.

Cell: 4.342 4.342 6.544 Å, 90.00 90.00 120.00°
Sites, in units of the cell vectors:
Dy  0.000  0.000  0.000
Zn  0.000  0.000  0.500
Ga  0.333  0.667  0.740
Ga  0.667  0.333  0.260
Pd  0.333  0.667  0.335
Pd  0.667  0.333  0.665

Output
The density of states at the Fermi level comes out at 3.134 states/eV per cell. The calculation puts the final energy at -26.3 eV/f.u. Its space-group type is P-3m1, No. 164. As for the crystal system: trigonal. Its formation energy is -0.6663 eV/atom. As for the total magnetic moment: 0.00 μB/cell.

***

(11)
A relaxed DyZnGaPd3 crystal, computed with GGA-PBE.

Cell: 7.192 7.192 5.734 Å, 90.00 90.00 133.55°
Sites, in units of the cell vectors:
Dy  0.169  0.831  0.750
Dy  0.831  0.169  0.250
Zn  0.384  0.616  0.750
Zn  0.616  0.384  0.250
Ga  0.130  0.870  0.250
Ga  0.870  0.130  0.750
Pd  0.247  0.247  0.000
Pd  0.247  0.247  0.500
Pd  0.325  0.675  0.250
Pd  0.675  0.325  0.750
Pd  0.753  0.753  0.000
Pd  0.753  0.753  0.500

Output
The density of states at the Fermi level comes out at 3.288 states/eV per cell. The calculation puts the final energy at -27.9 eV/f.u. Its space-group type is Cmcm, No. 63. As for the crystal system: orthorhombic. Its formation energy is -0.5723 eV/atom. As for the total magnetic moment: 0.00 μB/cell.

***

(12)
A relaxed DyZnGaPd crystal, computed with GGA-PBE.

Cell: 6.626 6.626 6.626 Å, 90.00 90.00 90.00°
Sites, in units of the cell vectors:
Dy  0.000  0.000  0.000
Dy  0.000  0.500  0.500
Dy  0.500  0.000  0.500
Dy  0.500  0.500  0.000
Zn  0.250  0.250  0.750
Zn  0.250  0.750  0.250
Zn  0.750  0.250  0.250
Zn  0.750  0.750  0.750
Ga  0.000  0.000  0.500
Ga  0.000  0.500  0.000
Ga  0.500  0.000  0.000
Ga  0.500  0.500  0.500
Pd  0.250  0.250  0.250
Pd  0.250  0.750  0.750
Pd  0.750  0.250  0.750
Pd  0.750  0.750  0.250

Output
The density of states at the Fermi level comes out at 8.825 states/eV per cell. The calculation puts the final energy at -16.4 eV/f.u. Its space-group type is F-43m, No. 216. As for the crystal system: cubic. Its formation energy is -0.5811 eV/atom. As for the total magnetic moment: 0.00 μB/cell.

***

(13)
A relaxed DyZnGaPd2 crystal, computed with GGA-PBE.

Cell: 7.153 7.153 5.442 Å, 90.00 90.00 136.92°
Sites, in units of the cell vectors:
Dy  0.250  0.750  0.773
Dy  0.750  0.250  0.227
Zn  0.000  0.000  0.000
Zn  0.500  0.500  0.000
Ga  0.250  0.250  0.500
Ga  0.750  0.750  0.500
Pd  0.147  0.853  0.294
Pd  0.353  0.647  0.294
Pd  0.647  0.353  0.706
Pd  0.853  0.147  0.706

Output
The density of states at the Fermi level comes out at 4.976 states/eV per cell. The calculation puts the final energy at -22.1 eV/f.u. Its space-group type is Cmme, No. 67. As for the crystal system: orthorhombic. Its formation energy is -0.5703 eV/atom. As for the total magnetic moment: 0.00 μB/cell.

***

(14)
A relaxed DyZnGa2Pd crystal, computed with GGA-PBE.

Cell: 4.173 4.173 10.606 Å, 90.00 90.00 90.00°
Sites, in units of the cell vectors:
Dy  0.000  0.000  0.000
Dy  0.500  0.500  0.500
Zn  0.000  0.500  0.750
Zn  0.500  0.000  0.250
Ga  0.000  0.000  0.385
Ga  0.000  0.000  0.615
Ga  0.500  0.500  0.115
Ga  0.500  0.500  0.885
Pd  0.000  0.500  0.250
Pd  0.500  0.000  0.750

Output
The density of states at the Fermi level comes out at 5.454 states/eV per cell. The calculation puts the final energy at -20.2 eV/f.u. Its space-group type is I-4m2, No. 119. As for the crystal system: tetragonal. Its formation energy is -0.6075 eV/atom. As for the total magnetic moment: 0.00 μB/cell.

***

(15)
A relaxed DyZnGa3Pd crystal, computed with GGA-PBE.

Cell: 6.870 6.870 6.278 Å, 90.00 90.00 128.84°
Sites, in units of the cell vectors:
Dy  0.193  0.807  0.750
Dy  0.807  0.193  0.250
Zn  0.414  0.586  0.750
Zn  0.586  0.414  0.250
Ga  0.214  0.214  0.000
Ga  0.214  0.214  0.500
Ga  0.359  0.641  0.250
Ga  0.641  0.359  0.750
Ga  0.786  0.786  0.000
Ga  0.786  0.786  0.500
Pd  0.151  0.849  0.250
Pd  0.849  0.151  0.750

Output
The density of states at the Fermi level comes out at 4.350 states/eV per cell. The calculation puts the final energy at -21.8 eV/f.u. Its space-group type is Cmcm, No. 63. As for the crystal system: orthorhombic. Its formation energy is -0.2818 eV/atom. As for the total magnetic moment: 0.00 μB/cell.

***

(16)
A relaxed Dy2Zn2GaPd5 crystal, computed with GGA-PBE.

Cell: 9.747 9.747 3.693 Å, 90.00 90.00 90.00°
Sites, in units of the cell vectors:
Dy  0.175  0.325  0.000
Dy  0.325  0.825  0.000
Dy  0.675  0.175  0.000
Dy  0.825  0.675  0.000
Zn  0.123  0.623  0.000
Zn  0.377  0.123  0.000
Zn  0.623  0.877  0.000
Zn  0.877  0.377  0.000
Ga  0.000  0.000  0.000
Ga  0.500  0.500  0.000
Pd  0.000  0.500  0.500
Pd  0.063  0.799  0.500
Pd  0.201  0.063  0.500
Pd  0.299  0.563  0.500
Pd  0.437  0.299  0.500
Pd  0.500  0.000  0.500
Pd  0.563  0.701  0.500
Pd  0.701  0.437  0.500
Pd  0.799  0.937  0.500
Pd  0.937  0.201  0.500

Output
The density of states at the Fermi level comes out at 9.184 states/eV per cell. The calculation puts the final energy at -47.8 eV/f.u. Its space-group type is P4/mbm, No. 127. As for the crystal system: tetragonal. Its formation energy is -0.7029 eV/atom. As for the total magnetic moment: 0.00 μB/cell.

***

(17)
A relaxed DyZrGaPd crystal, computed with GGA-PBE.

Cell: 6.919 6.919 6.919 Å, 90.00 90.00 90.00°
Sites, in units of the cell vectors:
Dy  0.000  0.000  0.000
Dy  0.000  0.500  0.500
Dy  0.500  0.000  0.500
Dy  0.500  0.500  0.000
Zr  0.000  0.000  0.500
Zr  0.000  0.500  0.000
Zr  0.500  0.000  0.000
Zr  0.500  0.500  0.500
Ga  0.250  0.250  0.750
Ga  0.250  0.750  0.250
Ga  0.750  0.250  0.250
Ga  0.750  0.750  0.750
Pd  0.250  0.250  0.250
Pd  0.250  0.750  0.750
Pd  0.750  0.250  0.750
Pd  0.750  0.750  0.250

Output
The density of states at the Fermi level comes out at 17.595 states/eV per cell. The calculation puts the final energy at -23.5 eV/f.u. Its space-group type is F-43m, No. 216. As for the crystal system: cubic. Its formation energy is -0.5411 eV/atom. As for the total magnetic moment: 1.95 μB/cell.

***

(18)
A relaxed PmDy3Ga4 crystal, computed with GGA-PBE.

Cell: 5.085 5.085 7.183 Å, 90.00 90.00 90.00°
Sites, in units of the cell vectors:
Pm  0.000  0.000  0.000
Dy  0.000  0.000  0.500
Dy  0.500  0.500  0.000
Dy  0.500  0.500  0.500
Ga  0.000  0.500  0.256
Ga  0.000  0.500  0.744
Ga  0.500  0.000  0.256
Ga  0.500  0.000  0.744

Output
The density of states at the Fermi level comes out at 2.925 states/eV per cell. The calculation puts the final energy at -35.3 eV/f.u. The value obtained for the relative energy among the computed polymorphs is 0.000 eV per atom. Its space-group type is P4/mmm, No. 123. As for the crystal system: tetragonal. Its formation energy is -0.5786 eV/atom. As for the total magnetic moment: 0.00 μB/cell.

***

(19)
A relaxed Pm2DyGa6 crystal, computed with GGA-PBE.

Cell: 7.947 7.947 7.947 Å, 148.05 127.07 63.17°
Sites, in units of the cell vectors:
Pm  0.129  0.129  0.000
Pm  0.871  0.871  0.000
Dy  0.500  0.000  0.500
Ga  0.132  0.321  0.812
Ga  0.192  0.500  0.692
Ga  0.491  0.679  0.812
Ga  0.509  0.321  0.188
Ga  0.808  0.500  0.308
Ga  0.868  0.679  0.188

Output
The density of states at the Fermi level comes out at 5.207 states/eV per cell. The calculation puts the final energy at -36.2 eV/f.u. The value obtained for the relative energy among the computed polymorphs is 0.230 eV per atom. Its space-group type is Immm, No. 71. As for the crystal system: orthorhombic. Its formation energy is -0.4379 eV/atom. As for the total magnetic moment: 0.00 μB/cell.

***

(20)
A relaxed Pm2DyGa crystal, computed with GGA-PBE.

Cell: 3.681 9.916 6.681 Å, 90.00 105.99 90.00°
Sites, in units of the cell vectors:
Pm  0.136  0.048  0.271
Pm  0.136  0.452  0.271
Pm  0.864  0.548  0.729
Pm  0.864  0.952  0.729
Dy  0.443  0.250  0.888
Dy  0.557  0.750  0.112
Ga  0.244  0.750  0.485
Ga  0.756  0.250  0.515

Output
The density of states at the Fermi level comes out at 10.492 states/eV per cell. The calculation puts the final energy at -18.2 eV/f.u. The value obtained for the relative energy among the computed polymorphs is 0.000 eV per atom. Its space-group type is P2_1/m, No. 11. As for the crystal system: monoclinic. Its formation energy is -0.2609 eV/atom. As for the total magnetic moment: 0.00 μB/cell.